Entry 1:
A plane-wave DFT calculation with PBE was carried out for an optimized crystal structure of BaZnTe2I.

Calculated values
calculated density	5.53	g/cm³
total moment	0.000	μB/cell
space group	P4/mmm, No. 123
energy above the most stable polymorph in this dataset	0.0	kJ per mole of atoms
formation energy from raw total energies	-0.75	eV per atom

Lattice parameters (Å, degrees): 5.3791 5.3791 6.0674 90.00 90.00 90.00
Last column: nearest neighbours and their distance in Å.
Sites, in units of the cell vectors:
Ba  0.0000  0.0000  0.0000  4 I 3.80, 8 Te 4.05
Zn  0.5000  0.5000  0.5000  4 Te 2.69
Te  0.0000  0.5000  0.5000  2 Zn 2.69
Te  0.5000  0.0000  0.5000  2 Zn 2.69
I  0.5000  0.5000  0.0000  2 Zn 3.03

Entry 2:
A plane-wave DFT calculation with PBE was carried out for an optimized crystal structure of NaInSn.

Calculated values
calculated density	5.31	g/cm³
total moment	0.000	μB/cell
energy of formation from the pure elements	-0.14	eV per atom
space group	P-6m2, No. 187

Lattice parameters (Å, degrees): 5.3129 5.3129 3.2834 90.00 90.00 120.00
Last column: nearest neighbours and their distance in Å.
Sites, in units of the cell vectors:
Na  0.0000  0.0000  0.0000  2 Na 3.28, 6 In 3.48, 6 Sn 3.48
In  0.3333  0.6667  0.5000  3 Sn 3.07, 2 In 3.28
Sn  0.6667  0.3333  0.5000  3 In 3.07, 2 Sn 3.28

Entry 3:
A plane-wave DFT calculation with PBE was carried out for an optimized crystal structure of KYAgPb2.

Calculated values
calculated density	5.88	g/cm³
total moment	0.000	μB/cell
energy of formation from the pure elements	0.32	eV per atom
space group	P4/mmm, No. 123

Lattice parameters (Å, degrees): 5.7072 5.7072 5.6389 90.00 90.00 90.00
Last column: nearest neighbours and their distance in Å.
Sites, in units of the cell vectors:
K  0.0000  0.0000  0.0000  2 Ag 2.82
Y  0.5000  0.5000  0.0000  8 Pb 4.01, 4 K 4.04
Ag  0.0000  0.0000  0.5000  2 K 2.82, 4 Pb 2.85
Pb  0.0000  0.5000  0.5000  2 Ag 2.85
Pb  0.5000  0.0000  0.5000  2 Ag 2.85